# SrTbPrMnO6 PBE with a Hubbard U relaxed
# uncorrected energy	-7.446	eV/atom
data_SrTbPrMnO6
_chemical_formula_sum 'Sr4 Tb4 Pr4 Mn4 O24'
_cell_length_a 8.158
_cell_length_b 8.158
_cell_length_c 8.158
_cell_angle_alpha 90.00
_cell_angle_beta 90.00
_cell_angle_gamma 90.00
_space_group_name_H-M_alt 'F -4 3 m'
_space_group_IT_number 216
_space_group_name_Hall 'F -4 2 3'
loop_
_atom_site_label
_atom_site_type_symbol
_atom_site_fract_x
_atom_site_fract_y
_atom_site_fract_z
Sr1 Sr 0.000 0.000 0.000
Tb1 Tb 0.250 0.250 0.250
Pr1 Pr 0.000 0.000 0.500
Mn1 Mn 0.250 0.250 0.750
O1 O 0.017 0.250 0.750